First-principles (GGA-PBE) data for a relaxed structure of Dy3Sc5S8, as listed in the Alexandria database.

a = 7.551 Å, b = 7.551 Å, c = 7.551 Å
α = 60.05°, β = 60.05°, γ = 60.05°
Fractional positions:
Dy 0.000 0.500 0.500
Dy 0.500 0.000 0.500
Dy 0.500 0.500 0.000
Sc 0.000 0.000 0.000
Sc 0.000 0.000 0.500
Sc 0.000 0.500 0.000
Sc 0.500 0.000 0.000
Sc 0.500 0.500 0.500
S 0.239 0.750 0.750
S 0.244 0.244 0.244
S 0.250 0.250 0.761
S 0.250 0.761 0.250
S 0.750 0.239 0.750
S 0.750 0.750 0.239
S 0.756 0.756 0.756
S 0.761 0.250 0.250

Calculated values
Size of the total moment in μB per atom: 0.00
Raw formation energy in kJ/mol of atoms: -183.19
Calculated total energy in eV/atom: -6.804
Density of states at the Fermi level in states/eV/f.u.: 11.3
SG: R-3m (166)